Record 1
# PrZn2 PBE-GGA optimized geometry
data_PrZn2
_cell_length_a 5.613
_cell_length_b 5.613
_cell_length_c 5.613
_cell_angle_alpha 60.00
_cell_angle_beta 60.00
_cell_angle_gamma 60.00
_space_group_name_H-M_alt 'P 1'
_space_group_IT_number 1
_space_group_name_Hall 'P 1'
loop_
_atom_site_label
_atom_site_fract_x
_atom_site_fract_y
_atom_site_fract_z
_atom_site_occupancy
Zn1 0.625 0.625 0.125 1
Zn2 0.625 0.125 0.625 1
Pr1 0.000 0.000 0.000 1
Zn3 0.625 0.625 0.625 1
Pr2 0.250 0.250 0.250 1
Zn4 0.125 0.625 0.625 1
# energy relative to the elements	-316	meV per atom
# DOS(E_F)	1.37	states/eV/f.u.
# total DFT energy (no corrections)	-8.28	eV per formula unit

***

Record 2
# BeTlSe PBE-GGA optimized geometry
data_BeTlSe
_cell_length_a 4.792
_cell_length_b 4.792
_cell_length_c 4.792
_cell_angle_alpha 60.00
_cell_angle_beta 60.00
_cell_angle_gamma 60.00
_space_group_name_H-M_alt 'P 1'
_space_group_IT_number 1
_space_group_name_Hall 'P 1'
loop_
_atom_site_label
_atom_site_fract_x
_atom_site_fract_y
_atom_site_fract_z
_atom_site_occupancy
Tl1 0.250 0.250 0.250 1
Se1 0.500 0.500 0.500 1
Be1 0.000 0.000 0.000 1
# energy relative to the lowest polymorph listed for this composition	1124	meV/atom
# DOS(E_F)	2.48	states/eV/f.u.
# total DFT energy (no corrections)	-7.22	eV per formula unit
# formation energy from raw total energies	0.7869	eV/atom

***

Record 3
# Pm2CuNi4Ge3 PBE-GGA optimized geometry
data_Pm2CuNi4Ge3
_cell_length_a 4.140
_cell_length_b 4.140
_cell_length_c 9.610
_cell_angle_alpha 90.00
_cell_angle_beta 90.00
_cell_angle_gamma 90.00
_space_group_name_H-M_alt 'P 1'
_space_group_IT_number 1
_space_group_name_Hall 'P 1'
loop_
_atom_site_label
_atom_site_fract_x
_atom_site_fract_y
_atom_site_fract_z
_atom_site_occupancy
Ni1 0.000 0.500 0.372 1
Ge1 0.500 0.000 0.873 1
Ge2 0.000 0.000 0.500 1
Cu1 0.500 0.500 0.500 1
Ni2 0.500 0.500 0.000 1
Ni3 0.000 0.000 0.000 1
Pm1 0.000 0.500 0.746 1
Ge3 0.000 0.500 0.127 1
Ni4 0.500 0.000 0.628 1
Pm2 0.500 0.000 0.254 1
# energy relative to the elements	-597	meV per atom
# DOS(E_F)	7.91	states/eV/f.u.
# total DFT energy (no corrections)	-56.55	eV per formula unit

***

Record 4
# PmErNi PBE-GGA optimized geometry
data_PmErNi
_cell_length_a 3.426
_cell_length_b 6.952
_cell_length_c 6.687
_cell_angle_alpha 105.50
_cell_angle_beta 104.89
_cell_angle_gamma 89.96
_space_group_name_H-M_alt 'P 1'
_space_group_IT_number 1
_space_group_name_Hall 'P 1'
loop_
_atom_site_label
_atom_site_fract_x
_atom_site_fract_y
_atom_site_fract_z
_atom_site_occupancy
Pm1 0.568 0.616 0.903 1
Pm2 0.310 0.487 0.386 1
Ni1 0.936 0.831 0.639 1
Ni2 0.942 0.274 0.650 1
Er1 0.308 0.987 0.382 1
Er2 0.570 0.117 0.907 1
# energy relative to the lowest polymorph listed for this composition	0	meV/atom
# energy relative to the elements	-213	meV per atom
# DOS(E_F)	3.22	states/eV/f.u.
# total DFT energy (no corrections)	-15.73	eV per formula unit

***

Record 5
# TbThZn PBE-GGA optimized geometry
data_TbThZn
_cell_length_a 5.263
_cell_length_b 5.263
_cell_length_c 6.680
_cell_angle_alpha 90.00
_cell_angle_beta 90.00
_cell_angle_gamma 120.00
_space_group_name_H-M_alt 'P 1'
_space_group_IT_number 1
_space_group_name_Hall 'P 1'
loop_
_atom_site_label
_atom_site_fract_x
_atom_site_fract_y
_atom_site_fract_z
_atom_site_occupancy
Zn1 0.667 0.333 0.366 1
Tb1 0.000 0.000 0.617 1
Zn2 0.333 0.667 0.866 1
Th1 0.333 0.667 0.367 1
Th2 0.667 0.333 0.867 1
Tb2 0.000 0.000 0.117 1
# energy relative to the lowest polymorph listed for this composition	97	meV/atom
# energy relative to the elements	-42	meV per atom
# DOS(E_F)	3.99	states/eV/f.u.
# total DFT energy (no corrections)	-13.45	eV per formula unit

***

Record 6
# LiTaPb2 PBE-GGA optimized geometry
data_LiTaPb2
_cell_length_a 4.985
_cell_length_b 3.205
_cell_length_c 5.797
_cell_angle_alpha 74.50
_cell_angle_beta 90.00
_cell_angle_gamma 90.00
_space_group_name_H-M_alt 'P 1'
_space_group_IT_number 1
_space_group_name_Hall 'P 1'
loop_
_atom_site_label
_atom_site_fract_x
_atom_site_fract_y
_atom_site_fract_z
_atom_site_occupancy
Pb1 0.000 0.993 0.904 1
Li1 0.500 0.543 0.801 1
Pb2 0.500 0.254 0.350 1
Ta1 0.000 0.709 0.445 1
# energy relative to the elements	285	meV per atom
# DOS(E_F)	1.82	states/eV/f.u.
# total DFT energy (no corrections)	-20.04	eV per formula unit

***

Record 7
# KRuCl2 PBE-GGA optimized geometry
data_KRuCl2
_cell_length_a 7.493
_cell_length_b 7.493
_cell_length_c 7.493
_cell_angle_alpha 150.18
_cell_angle_beta 152.63
_cell_angle_gamma 40.92
_space_group_name_H-M_alt 'P 1'
_space_group_IT_number 1
_space_group_name_Hall 'P 1'
loop_
_atom_site_label
_atom_site_fract_x
_atom_site_fract_y
_atom_site_fract_z
_atom_site_occupancy
Ru1 0.194 0.694 0.500 1
Cl1 0.071 0.071 0.000 1
K1 0.457 0.457 0.000 1
Cl2 0.779 0.279 0.500 1
# energy relative to the lowest polymorph listed for this composition	172	meV/atom
# DOS(E_F)	0.98	states/eV/f.u.
# total DFT energy (no corrections)	-15.29	eV per formula unit
# formation energy from raw total energies	-0.3070	eV/atom

***

Record 8
# TlSn2I6 PBE-GGA optimized geometry
data_TlSn2I6
_cell_length_a 7.783
_cell_length_b 7.801
_cell_length_c 7.801
_cell_angle_alpha 120.00
_cell_angle_beta 90.00
_cell_angle_gamma 90.00
_space_group_name_H-M_alt 'P 1'
_space_group_IT_number 1
_space_group_name_Hall 'P 1'
loop_
_atom_site_label
_atom_site_fract_x
_atom_site_fract_y
_atom_site_fract_z
_atom_site_occupancy
Sn1 0.500 0.333 0.667 1
I1 0.259 0.000 0.642 1
Sn2 0.500 0.667 0.333 1
I2 0.741 0.000 0.358 1
I3 0.741 0.642 0.642 1
Tl1 0.000 0.000 0.000 1
I4 0.259 0.642 0.000 1
I5 0.741 0.358 0.000 1
I6 0.259 0.358 0.358 1
# energy relative to the lowest polymorph listed for this composition	0	meV/atom
# DOS(E_F)	9.85	states/eV/f.u.
# total DFT energy (no corrections)	-23.73	eV per formula unit
# formation energy from raw total energies	-0.4514	eV/atom

***

Record 9
# HgGeSeBr2 PBE-GGA optimized geometry
data_HgGeSeBr2
_cell_length_a 5.406
_cell_length_b 5.406
_cell_length_c 5.411
_cell_angle_alpha 90.00
_cell_angle_beta 90.00
_cell_angle_gamma 90.00
_space_group_name_H-M_alt 'P 1'
_space_group_IT_number 1
_space_group_name_Hall 'P 1'
loop_
_atom_site_label
_atom_site_fract_x
_atom_site_fract_y
_atom_site_fract_z
_atom_site_occupancy
Ge1 0.500 0.500 0.500 1
Se1 0.000 0.000 0.500 1
Br1 0.500 0.000 0.000 1
Hg1 0.000 0.000 0.000 1
Br2 0.000 0.500 0.000 1
# energy relative to the lowest polymorph listed for this composition	376	meV/atom
# DOS(E_F)	2.21	states/eV/f.u.
# total DFT energy (no corrections)	-9.94	eV per formula unit
# formation energy from raw total energies	0.3615	eV/atom

***

Record 10
# Ba2Al3Ge PBE-GGA optimized geometry
data_Ba2Al3Ge
_cell_length_a 5.163
_cell_length_b 4.516
_cell_length_c 7.778
_cell_angle_alpha 90.00
_cell_angle_beta 90.00
_cell_angle_gamma 90.00
_space_group_name_H-M_alt 'P 1'
_space_group_IT_number 1
_space_group_name_Hall 'P 1'
loop_
_atom_site_label
_atom_site_fract_x
_atom_site_fract_y
_atom_site_fract_z
_atom_site_occupancy
Ge1 0.500 0.500 0.336 1
Ba1 0.000 0.500 0.005 1
Al1 0.500 0.500 0.665 1
Ba2 0.000 0.000 0.496 1
Al2 0.500 0.000 0.830 1
Al3 0.500 0.000 0.168 1
# energy relative to the elements	-346	meV per atom
# DOS(E_F)	3.80	states/eV/f.u.
# total DFT energy (no corrections)	-21.77	eV per formula unit

***

Record 11
# PmZn4Cu4 PBE-GGA optimized geometry
data_PmZn4Cu4
_cell_length_a 5.696
_cell_length_b 5.696
_cell_length_c 8.828
_cell_angle_alpha 90.00
_cell_angle_beta 90.00
_cell_angle_gamma 90.00
_space_group_name_H-M_alt 'P 1'
_space_group_IT_number 1
_space_group_name_Hall 'P 1'
loop_
_atom_site_label
_atom_site_fract_x
_atom_site_fract_y
_atom_site_fract_z
_atom_site_occupancy
Cu1 0.500 0.785 0.793 1
Cu2 0.000 0.715 0.707 1
Zn1 0.500 0.227 0.085 1
Zn2 0.727 0.000 0.585 1
Zn3 0.500 0.773 0.085 1
Pm1 0.500 0.500 0.500 1
Cu3 0.500 0.215 0.793 1
Cu4 0.215 0.500 0.207 1
Cu5 0.285 0.000 0.293 1
Zn4 0.000 0.273 0.415 1
Zn5 0.227 0.500 0.915 1
Zn6 0.773 0.500 0.915 1
Pm2 0.000 0.000 0.000 1
Cu6 0.785 0.500 0.207 1
Cu7 0.715 0.000 0.293 1
Zn7 0.000 0.727 0.415 1
Cu8 0.000 0.285 0.707 1
Zn8 0.273 0.000 0.585 1
# energy relative to the elements	-128	meV per atom
# DOS(E_F)	4.09	states/eV/f.u.
# total DFT energy (no corrections)	-27.38	eV per formula unit

***

- Which value of DOS(E_F) does entry 3 give?
  7.91 states/eV/f.u.